--- A ---
{"formula": "Mg2Ta2Pt", "functional": "GGA-PBE", "state": "relaxed", "spacegroup": "No. 127", "lattice": [[6.441, 0.000, 0.000], [0.000, 6.441, 0.000], [0.000, 0.000, 4.317]], "species": ["Mg", "Mg", "Mg", "Mg", "Pt", "Pt", "Ta", "Ta", "Ta", "Ta"], "frac_coords": [[0.357, 0.857, 0.000], [0.857, 0.643, 0.000], [0.643, 0.143, 0.000], [0.143, 0.357, 0.000], [0.000, 0.000, 0.000], [0.500, 0.500, 0.000], [0.157, 0.657, 0.500], [0.657, 0.843, 0.500], [0.843, 0.343, 0.500], [0.343, 0.157, 0.500]]}

=====

--- B ---
{"formula": "Mg2Ta2Pt", "functional": "GGA-PBE", "state": "relaxed", "spacegroup": "No. 139", "lattice": [[-1.931, -0.204, 3.029], [-2.861, -1.080, -1.897], [-0.109, -8.349, 1.504]], "species": ["Mg", "Mg", "Pt", "Ta", "Ta"], "frac_coords": [[0.413, 0.413, 0.174], [0.587, 0.587, 0.826], [0.000, 0.000, 0.000], [0.750, 0.250, 0.500], [0.250, 0.750, 0.500]]}

=====

Which of them is the most stable? Correct choice: A.

=====

--- A ---
{"formula": "MgTcPt", "functional": "GGA-PBE", "state": "relaxed", "spacegroup": "No. 107", "lattice": [[6.362, -0.042, 0.044], [5.762, 2.696, 0.046], [0.600, 0.128, 2.735]], "species": ["Mg", "Pt", "Tc"], "frac_coords": [[0.997, 0.997, 0.003], [0.327, 0.327, 0.673], [0.675, 0.675, 0.325]]}

=====

--- B ---
{"formula": "MgTcPt", "functional": "GGA-PBE", "state": "relaxed", "spacegroup": "No. 44", "lattice": [[4.839, 0.000, 0.001], [2.376, 4.216, -0.001], [-3.164, -2.867, 2.278]], "species": ["Mg", "Pt", "Tc"], "frac_coords": [[0.998, 0.998, 0.000], [0.334, 0.334, 0.000], [0.669, 0.669, 0.000]]}

=====

Which of them is the most stable? Correct choice: A.

=====

--- A ---
{"formula": "MgTcPt", "functional": "GGA-PBE", "state": "relaxed", "spacegroup": "No. 216", "lattice": [[4.280, 0.000, 0.000], [2.140, 3.707, 0.000], [2.140, 1.236, 3.495]], "species": ["Mg", "Pt", "Tc"], "frac_coords": [[0.500, 0.500, 0.500], [0.750, 0.750, 0.750], [0.000, 0.000, 0.000]]}

=====

--- B ---
{"formula": "MgTcPt", "functional": "GGA-PBE", "state": "relaxed", "spacegroup": "No. 156", "lattice": [[2.825, 0.000, 0.000], [-1.413, 2.447, 0.000], [0.000, 0.000, 6.852]], "species": ["Mg", "Pt", "Tc"], "frac_coords": [[0.000, 0.000, 0.004], [0.333, 0.667, 0.337], [0.667, 0.333, 0.658]]}

=====

Which of them is the most stable? Correct choice: B.

=====

--- A ---
{"formula": "MgTcPt3", "functional": "GGA-PBE", "state": "relaxed", "spacegroup": "No. 221", "lattice": [[4.575, 0.000, 0.000], [0.000, 4.575, 0.000], [0.000, 0.000, 4.575]], "species": ["Mg", "Tc", "Pt", "Pt", "Pt"], "frac_coords": [[0.000, 0.000, 0.000], [0.500, 0.500, 0.500], [0.000, 0.500, 0.000], [0.000, 0.000, 0.500], [0.500, 0.000, 0.000]]}

=====

--- B ---
{"formula": "MgTcPt3", "functional": "GGA-PBE", "state": "relaxed", "spacegroup": "No. 221", "lattice": [[4.816, 0.000, 0.000], [0.000, 4.816, 0.000], [0.000, 0.000, 4.816]], "species": ["Mg", "Tc", "Pt", "Pt", "Pt"], "frac_coords": [[0.500, 0.500, 0.500], [0.000, 0.000, 0.000], [0.000, 0.500, 0.000], [0.000, 0.000, 0.500], [0.500, 0.000, 0.000]]}

=====

Which of them is the most stable? Correct choice: B.

=====

--- A ---
{"formula": "MgTePt2", "functional": "GGA-PBE", "state": "relaxed", "spacegroup": "No. 38", "lattice": [[-4.272, 2.951, -1.968], [-4.722, 2.417, 1.643], [2.003, 3.406, 0.753]], "species": ["Mg", "Pt", "Pt", "Te"], "frac_coords": [[0.764, 0.764, 0.875], [0.039, 0.039, 0.875], [0.224, 0.224, 0.375], [0.473, 0.473, 0.375]]}

=====

--- B ---
{"formula": "MgTePt2", "functional": "GGA-PBE", "state": "relaxed", "spacegroup": "No. 123", "lattice": [[-0.647, 3.261, -0.850], [-3.225, -0.852, -0.805], [-1.759, 1.166, 5.810]], "species": ["Mg", "Pt", "Pt", "Te"], "frac_coords": [[0.500, 0.500, 0.750], [0.000, 0.000, 0.981], [0.000, 0.000, 0.519], [0.500, 0.500, 0.250]]}

=====

Which of them is the most stable? Correct choice: A.

=====

--- A ---
{"formula": "MgTePt2", "functional": "GGA-PBE", "state": "relaxed", "spacegroup": "No. 166", "lattice": [[-8.225, 1.267, 3.147], [-7.026, -0.513, 5.434], [-6.545, 2.586, 5.443]], "species": ["Mg", "Pt", "Pt", "Te"], "frac_coords": [[0.750, 0.750, 0.750], [0.004, 0.004, 0.004], [0.496, 0.496, 0.496], [0.250, 0.250, 0.250]]}

=====

--- B ---
{"formula": "MgTePt2", "functional": "GGA-PBE", "state": "relaxed", "spacegroup": "No. 119", "lattice": [[5.294, 0.011, 0.000], [2.219, 4.806, 0.000], [-3.757, -2.409, 2.848]], "species": ["Mg", "Pt", "Pt", "Te"], "frac_coords": [[0.750, 0.250, 0.500], [0.000, 0.000, 0.000], [0.250, 0.750, 0.500], [0.500, 0.500, 0.000]]}

=====

Which of them is the most stable? Correct choice: B.